## MnMoO4 (GGA+U)

Data for a geometry-optimized MnMoO4 structure. Values from VASP.

```
&SYSTEM
  ibrav = 0, nat = 6, ntyp = 3
/
ATOMIC_SPECIES
Mn 54.94 Mn.upf
Mo 95.94 Mo.upf
O 16.00 O.upf
CELL_PARAMETERS angstrom
-3.0018 3.0018 4.5068
3.0018 -3.0018 4.5068
3.0018 3.0018 -4.5068
ATOMIC_POSITIONS crystal
Mn 0.0000 0.0000 0.0000
Mo 0.7500 0.2500 0.5000
O 0.3988 0.1947 0.3239
O 0.8053 0.1291 0.2040
O 0.8709 0.0749 0.6761
O 0.9251 0.6012 0.7960
```

- E (eV per atom) = -7.413
- volume (Å³/cell) = 162.44
- space group = I-4